Record 1
The following is a DFT calculation (PBE) of an optimized crystal structure of La4GaCoCl2.

Properties
symmetry	P2/m, No. 10
energy relative to the elements, uncorrected	-0.957	eV per atom

POSCAR file:
```
La4GaCoCl2
1.0
4.119 0.000 0.000
0.000 7.556 0.213
0.000 -2.563 7.320
La Ga Co Cl
4 1 1 2
direct
0.500 0.232 0.216
0.500 0.768 0.784
0.000 0.221 0.788
0.000 0.779 0.212
0.500 0.500 0.000
0.000 0.000 0.000
0.500 0.000 0.500
0.000 0.500 0.500
```

=====

Record 2
The following is a DFT calculation (PBE) of an optimized crystal structure of RbPb2I5.

Properties
symmetry	Immm, No. 71
energy relative to the elements, uncorrected	-0.809	eV per atom

POSCAR file:
```
RbPb2I5
1.0
4.740 0.000 -0.942
-0.703 7.524 -3.539
-0.483 0.016 9.967
Rb Pb I
1 2 5
direct
0.000 0.000 0.000
0.182 0.682 0.364
0.818 0.318 0.636
0.000 0.500 0.000
0.652 0.387 0.305
0.348 0.613 0.695
0.652 0.918 0.305
0.348 0.082 0.695
```

=====

Record 3
The following is a DFT calculation (PBE) of an optimized crystal structure of PmRe6.

Properties
symmetry	Im-3m, No. 229
offset from the most stable computed form	901.7	meV/atom
formation energy	1.00	eV/atom

POSCAR file:
```
PmRe6
1.0
5.977 0.000 0.000
-1.992 5.635 0.000
-1.992 -2.818 4.880
Pm Re
1 6
direct
0.000 0.000 0.000
0.250 0.750 0.500
0.500 0.750 0.250
0.250 0.500 0.750
0.750 0.250 0.500
0.500 0.250 0.750
0.750 0.500 0.250
```

=====

Record 4
The following is a DFT calculation (PBE) of an optimized crystal structure of Ho3ScIn3.

Properties
symmetry	P6_3/m, No. 176
formation energy	-0.22	eV/atom

POSCAR file:
```
Ho3ScIn3
1.0
5.456 0.000 0.000
0.000 8.888 0.000
0.000 -4.444 7.697
Ho Sc In
6 2 6
direct
0.750 0.637 0.541
0.750 0.459 0.096
0.750 0.904 0.363
0.250 0.363 0.459
0.250 0.541 0.904
0.250 0.096 0.637
0.250 0.667 0.333
0.750 0.333 0.667
0.250 0.812 0.761
0.250 0.239 0.052
0.250 0.948 0.188
0.750 0.188 0.239
0.750 0.761 0.948
0.750 0.052 0.812
```

=====

Total DFT energy (no corrections) in eV per atom, matching the order above: -5.15, -2.83, -10.35, -4.26